[1]
LaMgBr2O: optimized geometry, PBE.

Lattice parameters (Å, degrees): 4.6863 4.6863 7.3266 90.00 90.00 90.00
Closest atoms and distances in Å follow each position.
Space group P4/mmm (No. 123)
Unique sites:
La 0.0000 0.0000 0.0000 x1  4 O 3.31, 2 Mg 3.66
Mg 0.0000 0.0000 0.5000 x1  4 Br 2.34
Br 0.0000 0.5000 0.5000 x2  2 Mg 2.34
O 0.5000 0.5000 0.0000 x1  4 La 3.31

Calculated values
ρ ... 3.5 g cm⁻³
Total DFT energy (no corrections) ... -17.37 eV for the cell shown
Energy relative to the elements, uncorrected ... -2.5 eV per formula unit
Magnetization ... 1.0 μB/f.u.



[2]
LaMgOsBr2: optimized geometry, PBE.

Lattice parameters (Å, degrees): 5.1253 5.1253 4.9635 90.00 90.00 90.00
Closest atoms and distances in Å follow each position.
Space group P4/mmm (No. 123)
Unique sites:
La 0.0000 0.0000 0.0000 x1  8 Br 3.57, 4 Mg 3.62
Mg 0.5000 0.5000 0.0000 x1  2 Os 2.48
Os 0.5000 0.5000 0.5000 x1  2 Mg 2.48, 4 Br 2.56
Br 0.0000 0.5000 0.5000 x2  2 Os 2.56

Calculated values
ρ ... 6.5 g cm⁻³
Total DFT energy (no corrections) ... -19.68 eV for the cell shown
Energy relative to the elements, uncorrected ... 1.4 eV per formula unit
Magnetization ... 0.0 μB/f.u.



[3]
LaMg2PtBr: optimized geometry, PBE.

Lattice parameters (Å, degrees): 4.8976 4.8976 5.6570 90.00 90.00 90.00
Closest atoms and distances in Å follow each position.
Space group P4/mmm (No. 123)
Unique sites:
La 0.0000 0.0000 0.0000 x1  2 Br 2.83
Mg 0.0000 0.5000 0.5000 x2  2 Br 2.45
Pt 0.5000 0.5000 0.0000 x1  4 La 3.46, 8 Mg 3.74
Br 0.0000 0.0000 0.5000 x1  4 Mg 2.45

Calculated values
ρ ... 5.7 g cm⁻³
Total DFT energy (no corrections) ... -15.33 eV for the cell shown
Energy relative to the elements, uncorrected ... 0.5 eV per formula unit
Magnetization ... 0.0 μB/f.u.



Question: Which formula does entry 2 have?
Answer: LaMgOsBr2



Question: The lowest ρ belongs to which entry?
Answer: LaMgBr2O



Question: Which value of total DFT energy (no corrections) does entry 3 give?
Answer: -15.33 eV for the cell shown